(1)
This record from Alexandria via LeMat-Bulk describes a relaxed structure of Hg2P2Rh. The functional is GGA-PBE.

Cell: 5.996 5.996 5.430 Å, 90.00 90.00 90.00°
Sites, in units of the cell vectors:
P 0.365 0.865 0.000
P 0.865 0.635 0.000
P 0.635 0.135 0.000
P 0.135 0.365 0.000
Rh 0.000 0.000 0.000
Rh 0.500 0.500 0.000
Hg 0.325 0.825 0.500
Hg 0.825 0.675 0.500
Hg 0.675 0.175 0.500
Hg 0.175 0.325 0.500

Space-group type: P4/mbm
Calculated volume in Å³/atom: 19.5
Size of the total moment in μB per cell: 0.000
Raw total energy in eV/atom: -3.856


(2)
This record from Alexandria via LeMat-Bulk describes a relaxed structure of Tb6CoBr10. The functional is GGA-PBE.

Cell: 7.381 9.098 9.279 Å, 107.61 96.61 104.46°
Last column: magnetic moment on the atom in μB.
Sites, in units of the cell vectors:
Tb 0.037 0.717 0.415  0.15
Tb 0.963 0.283 0.585  0.15
Tb 0.875 0.951 0.743  0.10
Tb 0.125 0.049 0.257  0.10
Tb 0.353 0.131 0.675  0.09
Tb 0.647 0.869 0.325  0.09
Co 0.000 0.000 0.500  -0.06
Br 0.454 0.819 0.585  0.00
Br 0.546 0.181 0.415  0.00
Br 0.912 0.627 0.672  0.01
Br 0.088 0.373 0.328  0.01
Br 0.246 0.081 0.954  0.00
Br 0.754 0.919 0.046  0.00
Br 0.336 0.449 0.772  0.01
Br 0.664 0.551 0.228  0.01
Br 0.776 0.252 0.841  0.01
Br 0.224 0.748 0.159  0.01

Space-group type: P-1
Calculated volume in Å³/atom: 33.1
Uncorrected formation energy in eV per atom: -1.554
Size of the total moment in μB per cell: 0.957
Raw total energy in eV/atom: -4.590